# TlTcHg2O4

A geometry-optimized TlTcHg2O4 structure (GGA-PBE, Alexandria via LeMat-Bulk).

Raw formation energy in eV/atom: -0.935

```
8
Lattice="5.324 -0.183 0.000 -0.624 5.290 0.000 -2.350 -2.553 7.709" Properties=species:S:1:pos:R:3 pbc="T T T"
O 1.309 3.511 0.741
O 0.971 1.055 6.436
O -0.971 -1.055 6.436
O 3.391 1.596 0.741
Hg -0.312 2.645 3.866
Hg 2.662 -0.092 3.866
Tc 0.000 0.000 7.420
Tl 0.000 0.000 1.337
```

---

# TlTc2HgO8

A geometry-optimized TlTc2HgO8 structure (GGA-PBE, Alexandria via LeMat-Bulk).

Raw formation energy in eV/atom: -1.146

```
12
Lattice="-0.114 -5.481 2.798 5.608 -2.768 1.574 2.886 0.184 7.248" Properties=species:S:1:pos:R:3 pbc="T T T"
O 0.861 -3.263 3.558
O 3.521 -5.246 3.405
O 3.408 -1.926 3.136
O 4.859 -2.819 8.214
O 0.913 -0.716 2.258
O 7.519 -4.801 8.061
O 7.466 -7.349 9.362
O 4.972 -6.139 8.484
Tl 4.190 -4.032 5.810
Tc 6.572 -5.852 9.111
Tc 1.807 -2.213 2.508
Hg 0.000 0.000 0.000
```

---

# UTcHgO6

A geometry-optimized UTcHgO6 structure (GGA-PBE, Alexandria via LeMat-Bulk).

Raw formation energy in eV/atom: -1.840

```
18
Lattice="7.935 0.000 0.000 0.000 7.308 0.000 -3.968 -3.654 5.425" Properties=species:S:1:pos:R:3 pbc="T T T"
U 1.984 -1.827 2.712
U -1.984 -1.827 2.712
O 0.000 1.827 4.908
O 0.000 5.481 2.032
O 1.353 4.063 4.116
O 2.615 -0.409 1.309
O -1.353 -0.409 4.116
O 1.353 -0.409 4.116
O 3.968 -1.827 3.393
O 2.615 4.063 1.309
O 3.968 1.827 0.517
O 5.320 4.063 1.309
O -1.353 4.063 4.116
O 5.320 -0.409 1.309
Hg 3.968 1.827 3.762
Hg 0.000 1.827 1.663
Tc 3.968 0.000 0.000
Tc 3.968 3.654 0.000
```